<w>
VASP calculation (PBE) on an optimized crystal structure of CsHfSi2.

Computed properties:
total magnetic moment	0.000	μB per atom
theoretical density	4.018	g cm⁻³

abc: 5.9625 5.9625 17.0903
angles: 90.00 90.00 90.00
Last column: nearest neighbours and their distance in Å.
Space group I4_1/amd (No. 141, origin choice 2)
One atom of each set of equivalent atoms:
Cs  0.0000  0.2500  0.3750  8 Si 3.96, 4 Hf 4.22
Hf  0.0000  0.2500  0.8750  4 Si 2.60
Si  0.0000  0.0000  0.0000  2 Hf 2.60

<x>
VASP calculation (PBE) on an optimized crystal structure of CsHfSi2.

Computed properties:
total magnetic moment	0.000	μB per atom
theoretical density	6.484	g cm⁻³

abc: 7.2209 7.2209 7.2209
angles: 90.00 90.00 90.00
Last column: nearest neighbours and their distance in Å.
Space group Fm-3m (No. 225)
One atom of each set of equivalent atoms:
Cs  0.0000  0.0000  0.0000  8 Si 3.13
Hf  0.0000  0.0000  0.5000  8 Si 3.13
Si  0.2500  0.2500  0.2500  4 Hf 3.13, 4 Cs 3.13

Top of the stability list: <w>, leading by 41.8 kJ/mol of atoms.

<w>
VASP calculation (PBE) on an optimized crystal structure of CsHfSi3.

Computed properties:
total magnetic moment	0.000	μB per atom
theoretical density	4.745	g cm⁻³

abc: 5.1734 5.1734 5.1734
angles: 90.00 90.00 90.00
Last column: nearest neighbours and their distance in Å.
Space group Pm-3m (No. 221)
One atom of each set of equivalent atoms:
Cs  0.0000  0.0000  0.0000  6 Si 2.59
Hf  0.5000  0.5000  0.5000  12 Si 3.66
Si  0.0000  0.0000  0.5000  2 Cs 2.59

<x>
VASP calculation (PBE) on an optimized crystal structure of CsHfSi3.

Computed properties:
total magnetic moment	0.000	μB per atom
theoretical density	4.615	g cm⁻³

abc: 5.2215 5.2215 5.2215
angles: 90.00 90.00 90.00
Last column: nearest neighbours and their distance in Å.
Space group Pm-3m (No. 221)
One atom of each set of equivalent atoms:
Cs  0.0000  0.0000  0.0000  12 Si 3.69
Hf  0.5000  0.5000  0.5000  6 Si 2.61
Si  0.0000  0.5000  0.5000  2 Hf 2.61

Top of the stability list: <x>, leading by 192.3 kJ/mol of atoms.

<w>
VASP calculation (PBE) on an optimized crystal structure of CsHf2Si2.

Computed properties:
total magnetic moment	0.000	μB per atom
theoretical density	8.221	g cm⁻³

abc: 8.4989 8.4989 3.0539
angles: 90.00 90.00 90.00
Last column: nearest neighbours and their distance in Å.
Space group P4/mbm (No. 127)
One atom of each set of equivalent atoms:
Cs  0.0000  0.0000  0.0000  2 Cs 3.05, 4 Hf 3.34
Hf  0.1295  0.3705  0.0000  6 Si 2.86-3.01, 3 Hf 3.05-3.11
Si  0.1542  0.6542  0.5000  6 Hf 2.86-3.01, 2 Si 3.05

<x>
VASP calculation (PBE) on an optimized crystal structure of CsHf2Si2.

Computed properties:
total magnetic moment	0.127	μB per atom
theoretical density	5.564	g cm⁻³

abc: 5.0934 5.0934 12.5639
angles: 90.00 90.00 90.00
Last column: nearest neighbours and their distance in Å.
Space group I4/mmm (No. 139)
One atom of each set of equivalent atoms:
Cs  0.0000  0.0000  0.0000  2 Hf 3.70, 8 Si 4.04
Hf  0.0000  0.0000  0.2943  4 Si 2.61
Si  0.0000  0.5000  0.2500  4 Hf 2.61

Top of the stability list: <w>, leading by 14.2 kJ/mol of atoms.

<w>
VASP calculation (PBE) on an optimized crystal structure of CsHfSn3.

Computed properties:
total magnetic moment	0.000	μB per atom
theoretical density	6.159	g cm⁻³

abc: 5.6459 5.6459 5.6459
angles: 90.00 90.00 90.00
Last column: nearest neighbours and their distance in Å.
Space group Pm-3m (No. 221)
One atom of each set of equivalent atoms:
Cs  0.0000  0.0000  0.0000  12 Sn 3.99
Hf  0.5000  0.5000  0.5000  6 Sn 2.82
Sn  0.0000  0.5000  0.5000  2 Hf 2.82

<x>
VASP calculation (PBE) on an optimized crystal structure of CsHfSn3.

Computed properties:
total magnetic moment	0.000	μB per atom
theoretical density	5.583	g cm⁻³

abc: 5.8337 5.8337 5.8337
angles: 90.00 90.00 90.00
Last column: nearest neighbours and their distance in Å.
Space group Pm-3m (No. 221)
One atom of each set of equivalent atoms:
Cs  0.0000  0.0000  0.0000  6 Sn 2.92
Hf  0.5000  0.5000  0.5000  12 Sn 4.13
Sn  0.0000  0.0000  0.5000  2 Cs 2.92

Top of the stability list: <w>, leading by 188.1 kJ/mol of atoms.